Record 1
CsNb2Re: optimized geometry, GGA-PBE.

Calculated values
**N(E_F)**: 1.472 states/eV/atom
**SG**: I-42d, No. 122
**Calculated formation energy**: 1.792 eV/atom

The structure in extended XYZ format:
```
8
Lattice="5.5123 0.0000 0.0000 0.0000 5.5123 0.0000 2.7561 2.7561 8.3872" Properties=species:S:1:pos:R:3 pbc="T T T"
Nb 5.7810 4.1342 2.0968
Nb 6.8903 2.4874 6.2904
Nb 5.2436 1.3781 2.0968
Nb 4.1342 3.0249 6.2904
Cs 2.7561 2.7561 0.0000
Cs 2.7561 5.5123 4.1936
Re 5.5123 2.7561 4.1936
Re 0.0000 0.0000 0.0000
```

***

Record 2
LaTeOsN2: optimized geometry, GGA-PBE.

Calculated values
**Uncorrected formation energy**: 151.35 kJ/mol of atoms
**N(E_F)**: 1.437 states/eV/atom
**SG**: P4/mmm, No. 123

The structure in extended XYZ format:
```
5
Lattice="-2.6616 -3.1136 -0.2561 3.0843 -2.5653 -0.8665 0.8495 -1.2887 6.8385" Properties=species:S:1:pos:R:3 pbc="T T T"
N -1.3308 -1.5568 -0.1281
N 1.5422 -1.2826 -0.4333
Te 0.4247 -0.6443 3.4192
Os 0.6361 -3.4838 2.8579
La 0.0000 0.0000 0.0000
```

***

Record 3
InSi2CCl: optimized geometry, GGA-PBE.

Calculated values
**Uncorrected formation energy**: 170.99 kJ/mol of atoms
**N(E_F)**: 0.581 states/eV/atom
**SG**: P4/mmm, No. 123

The structure in extended XYZ format:
```
5
Lattice="4.8661 0.0000 0.0000 0.0000 4.3292 0.0000 0.0000 0.0000 4.8661" Properties=species:S:1:pos:R:3 pbc="T T T"
Si 0.0000 0.0000 2.4330
Si 2.4330 0.0000 0.0000
In 2.4330 2.1646 2.4330
Cl 0.0000 0.0000 0.0000
C 0.0000 2.1646 0.0000
```

***

Record 4
PtPb2Br: optimized geometry, GGA-PBE.

Calculated values
**Uncorrected formation energy**: 23.86 kJ/mol of atoms
**N(E_F)**: 0.831 states/eV/atom
**SG**: F-43m, No. 216

The structure in extended XYZ format:
```
4
Lattice="5.2255 0.0000 0.0000 2.6128 4.5254 0.0000 2.6128 1.5085 4.2666" Properties=species:S:1:pos:R:3 pbc="T T T"
Pb 0.0000 0.0000 0.0000
Pb 7.8383 4.5254 3.2000
Pt 2.6128 1.5085 1.0667
Br 5.2255 3.0170 2.1333
```

***

Which of these has the lowest N(E_F)? InSi2CCl